[1]
## Al2SbPb (PBE)

Data for a relaxed structure of Al2SbPb.

Computed properties:
DFT total energy, eV per formula unit: -14.295
Uncorrected formation energy, eV per atom: 0.26
Energy above the lowest structure with this stoichiometry, kJ per mole of atoms: 12.4
Mass density, g/cm³: 6.48

a = 5.7197 Å, b = 5.7197 Å, c = 5.7197 Å
α = 139.03°, β = 125.41°, γ = 70.46°
With the nearest neighbours (Å) after each atom.
Fractional coordinates of all 4 atoms:
Al 0.2347 0.2347 0.0000  2 Sb 2.97, 2 Pb 3.19, 4 Al 3.31
Al 0.7653 0.7653 0.0000  2 Sb 2.97, 2 Pb 3.19, 4 Al 3.31
Sb 0.0000 0.5000 0.5000  4 Al 2.97, 4 Pb 3.30
Pb 0.5000 0.0000 0.5000  8 Al 3.19-3.42, 4 Sb 3.30

=====

[2]
## Pm4Sb2Se (PBE)

Data for a relaxed structure of Pm4Sb2Se.

Computed properties:
DFT total energy, eV per formula unit: -39.048
Uncorrected formation energy, eV per atom: -1.19
Energy above the lowest structure with this stoichiometry, kJ per mole of atoms: 0.0
Mass density, g/cm³: 7.49

a = 8.0429 Å, b = 8.0429 Å, c = 8.0429 Å
α = 110.25°, β = 110.25°, γ = 107.92°
With the nearest neighbours (Å) after each atom.
Fractional coordinates of all 14 atoms:
Pm 0.1265 0.0065 0.7358  1 Se 2.95, 2 Sb 3.12-3.13
Pm 0.1407 0.5207 0.7642  1 Se 2.95, 2 Sb 3.12-3.13
Pm 0.2707 0.3907 0.2642  1 Se 2.95, 2 Sb 3.12-3.13
Pm 0.4793 0.2435 0.6200  1 Se 2.95, 2 Sb 3.12-3.13
Pm 0.6093 0.8735 0.8800  1 Se 2.95, 2 Sb 3.12-3.13
Pm 0.6235 0.8593 0.3800  1 Se 2.95, 2 Sb 3.12-3.13
Pm 0.7565 0.3765 0.2358  1 Se 2.95, 2 Sb 3.12-3.13
Pm 0.9935 0.7293 0.1200  1 Se 2.95, 2 Sb 3.12-3.13
Sb 0.3750 0.0090 0.1340  8 Pm 3.12-3.36
Sb 0.7590 0.6250 0.6340  8 Pm 3.12-3.36
Sb 0.8750 0.2410 0.8660  8 Pm 3.12-3.36
Sb 0.9910 0.1250 0.3660  8 Pm 3.12-3.36
Se 0.2500 0.7500 0.5000  4 Pm 2.95
Se 0.5000 0.5000 0.0000  4 Pm 2.95

=====

[3]
## AlVH2 (PBE)

Data for a relaxed structure of AlVH2.

Computed properties:
DFT total energy, eV per formula unit: -19.633
Energy above the lowest structure with this stoichiometry, kJ per mole of atoms: 0.0
Mass density, g/cm³: 3.72

a = 5.3231 Å, b = 5.3231 Å, c = 5.3231 Å
α = 31.08°, β = 31.08°, γ = 31.08°
With the nearest neighbours (Å) after each atom.
Fractional coordinates of all 4 atoms:
Al 0.0000 0.0000 0.0000  2 H 1.86
V 0.5000 0.5000 0.5000  6 H 1.78
H 0.1226 0.1226 0.1226  3 V 1.78, 1 Al 1.86
H 0.8774 0.8774 0.8774  3 V 1.78, 1 Al 1.86